No. 1
First-principles (PBE) data for MgTePbCl2 after structural relaxation, as listed in Alexandria via LeMat-Bulk.

Output
The uncorrected formation energy is -0.166 eV per atom.

a = 5.3781 Å, b = 6.2579 Å, c = 5.3781 Å
α = 90.00°, β = 90.00°, γ = 90.00°
Last column: magnetic moment on the atom in μB.
Sites, in units of the cell vectors:
Pb: 0.0000 0.0000 0.0000  0.05
Mg: 0.0000 0.5000 0.0000  0.01
Te: 0.5000 0.5000 0.5000  0.61
Cl: 0.0000 0.0000 0.5000  0.04
Cl: 0.5000 0.0000 0.0000  0.03

=====

No. 2
First-principles (PBE) data for Al4NiAu after structural relaxation, as listed in Alexandria via LeMat-Bulk.

Output
The calculation puts the formation energy at 0.17 eV/atom.

a = 5.1419 Å, b = 5.1419 Å, c = 5.1419 Å
α = 60.00°, β = 60.00°, γ = 60.00°
Sites, in units of the cell vectors:
Al: 0.8766 0.3745 0.3745
Al: 0.3745 0.3745 0.8766
Al: 0.3745 0.8766 0.3745
Al: 0.3745 0.3745 0.3745
Ni: 0.0000 0.0000 0.0000
Au: 0.7500 0.7500 0.7500